Density functional theory data (GGA-PBE) for crystalline Tl2Zn2Ge at its relaxed geometry.

Unit cell a=8.5295 b=8.5295 c=3.2250 alpha=90.00 beta=90.00 gamma=90.00
Element x y z (fractional)
Tl: 0.1937 0.3063 0.0000
Tl: 0.3063 0.8063 0.0000
Tl: 0.6937 0.1937 0.0000
Tl: 0.8063 0.6937 0.0000
Zn: 0.1068 0.6068 0.5000
Zn: 0.3932 0.1068 0.5000
Zn: 0.6068 0.8932 0.5000
Zn: 0.8932 0.3932 0.5000
Ge: 0.0000 0.0000 0.0000
Ge: 0.5000 0.5000 0.0000

As for the space-group type: P4/mbm, No. 127. For the formation enthalpy at 0 K, the calculation gives 0.330 eV/atom.

=====

Density functional theory data (GGA-PBE) for crystalline Tl2ZnGe at its relaxed geometry.

Unit cell a=6.5073 b=6.5073 c=6.5073 alpha=103.07 beta=103.07 gamma=123.21
Element x y z (fractional)
Tl: 0.1215 0.6250 0.9965
Tl: 0.3750 0.3715 0.4965
Tl: 0.6285 0.1250 0.0035
Tl: 0.8750 0.8785 0.5035
Zn: 0.0000 0.0000 0.0000
Zn: 0.7500 0.2500 0.5000
Ge: 0.2500 0.7500 0.5000
Ge: 0.5000 0.5000 0.0000

As for the space-group type: I-42d, No. 122. For the formation enthalpy at 0 K, the calculation gives 0.309 eV/atom.

=====

Density functional theory data (GGA-PBE) for crystalline Tl2ZnGe2 at its relaxed geometry.

Unit cell a=7.7833 b=7.7833 c=4.2691 alpha=90.00 beta=90.00 gamma=90.00
Element x y z (fractional)
Tl: 0.1783 0.3217 0.0000
Tl: 0.3217 0.8217 0.0000
Tl: 0.6783 0.1783 0.0000
Tl: 0.8217 0.6783 0.0000
Zn: 0.0000 0.0000 0.0000
Zn: 0.5000 0.5000 0.0000
Ge: 0.1154 0.6154 0.5000
Ge: 0.3846 0.1154 0.5000
Ge: 0.6154 0.8846 0.5000
Ge: 0.8846 0.3846 0.5000

As for the space-group type: P4/mbm, No. 127. For the formation enthalpy at 0 K, the calculation gives 0.377 eV/atom.

=====

Density functional theory data (GGA-PBE) for crystalline Tl2Zn2Ge at its relaxed geometry.

Unit cell a=7.0141 b=7.0141 c=7.0141 alpha=143.46 beta=143.46 gamma=52.63
Element x y z (fractional)
Tl: 0.2500 0.7500 0.5000
Tl: 0.7500 0.2500 0.5000
Zn: 0.0940 0.0940 0.0000
Zn: 0.9060 0.9060 0.0000
Ge: 0.5000 0.5000 0.0000

As for the space-group type: I4/mmm, No. 139. For the formation enthalpy at 0 K, the calculation gives 0.407 eV/atom.

=====

Density functional theory data (GGA-PBE) for crystalline Tl2ZnGe2 at its relaxed geometry.

Unit cell a=9.3024 b=9.3024 c=9.3024 alpha=156.72 beta=156.72 gamma=33.15
Element x y z (fractional)
Tl: 0.1012 0.1012 0.0000
Tl: 0.8988 0.8988 0.0000
Zn: 0.5000 0.5000 0.0000
Ge: 0.2500 0.7500 0.5000
Ge: 0.7500 0.2500 0.5000

As for the space-group type: I4/mmm, No. 139. For the formation enthalpy at 0 K, the calculation gives 0.223 eV/atom.

=====

Density functional theory data (GGA-PBE) for crystalline ZrTl2ZnGe at its relaxed geometry.

Unit cell a=5.3085 b=5.3085 c=5.2575 alpha=90.00 beta=90.00 gamma=90.00
Element x y z (fractional)
Zr: 0.0000 0.0000 0.0000
Tl: 0.0000 0.5000 0.5000
Tl: 0.5000 0.0000 0.5000
Zn: 0.5000 0.5000 0.0000
Ge: 0.0000 0.0000 0.5000

As for the space-group type: P4/mmm, No. 123. For the formation enthalpy at 0 K, the calculation gives 0.620 eV/atom.

=====

Density functional theory data (GGA-PBE) for crystalline ZrTl2Ge at its relaxed geometry.

Unit cell a=5.1849 b=5.1849 c=5.1849 alpha=60.00 beta=60.00 gamma=60.00
Element x y z (fractional)
Zr: 0.0000 0.0000 0.0000
Tl: 0.2500 0.2500 0.2500
Tl: 0.7500 0.7500 0.7500
Ge: 0.5000 0.5000 0.5000

As for the space-group type: Fm-3m, No. 225. For the formation enthalpy at 0 K, the calculation gives 0.394 eV/atom.

=====

Density functional theory data (GGA-PBE) for crystalline Zr2Tl2Ge at its relaxed geometry.

Unit cell a=7.1365 b=7.1365 c=4.7013 alpha=90.00 beta=90.00 gamma=90.00
Element x y z (fractional)
Zr: 0.1607 0.3393 0.0000
Zr: 0.3393 0.8393 0.0000
Zr: 0.6607 0.1607 0.0000
Zr: 0.8393 0.6607 0.0000
Tl: 0.1548 0.6548 0.5000
Tl: 0.3452 0.1548 0.5000
Tl: 0.6548 0.8452 0.5000
Tl: 0.8452 0.3452 0.5000
Ge: 0.0000 0.0000 0.0000
Ge: 0.5000 0.5000 0.0000

As for the space-group type: P4/mbm, No. 127. For the formation enthalpy at 0 K, the calculation gives -0.191 eV/atom.

=====

The following magnetic moment values (in μB/cell) correspond, in order, to the records above: 0.000; 0.000; 0.000; 0.000; 0.000; 0.000; 0.000; 0.000.
The following density values (in Mg/m³) correspond, in order, to the records above: 8.67; 8.95; 7.95; 8.36; 8.19; 7.15; 9.65; 9.21.
The following N(E_F) values (in states/eV/cell) correspond, in order, to the records above: 3.53; 4.70; 4.84; 2.52; 1.92; 4.17; 3.50; 2.50.